Below is VO2F after structural relaxation, with properties calculated at the GGA+U level.

Structure (POSCAR):
```
VO2F
1.0
5.4027 0.0000 0.0000
0.0000 2.7753 0.0000
-0.8640 0.0000 5.7864
V O F
2 4 2
Direct
0.2366 0.2500 0.3940 V
0.7634 0.7500 0.6060 V
0.0242 0.2500 0.6607 O
0.3843 0.7500 0.6046 O
0.6157 0.2500 0.3954 O
0.9758 0.7500 0.3392 O
0.3028 0.7500 0.1559 F
0.6972 0.2500 0.8441 F
```

Output
- Energy: -6.499 eV per atom